1.
# MgCuSi2O6 | Alexandria | PBE | relaxed
# V: 887.6 Å³/cell
data_MgCuSi2O6
_space_group_name_H-M_alt 'P b c a'
_space_group_IT_number 61
_space_group_name_Hall '-P 2ac 2ab'
_cell_length_a 5.3264
_cell_length_b 18.4884
_cell_length_c 9.0138
_cell_angle_alpha 90.00
_cell_angle_beta 90.00
_cell_angle_gamma 90.00
loop_
_atom_site_label
_atom_site_fract_x
_atom_site_fract_y
_atom_site_fract_z
Mg1 0.0952 0.1257 0.1522
Cu1 0.1023 0.1251 0.5055
Si1 0.0992 0.7246 0.6638
Si2 0.2382 0.0240 0.8382
O1 0.0453 0.5485 0.7169
O2 0.0900 0.6877 0.1695
O3 0.0989 0.6863 0.5013
O4 0.1300 0.1930 0.7299
O5 0.2011 0.5674 0.9915
O6 0.2326 0.5651 0.3418



2.
# MgCuSi2O6 | Alexandria | PBE | relaxed
# V: 474.6 Å³/cell
data_MgCuSi2O6
_space_group_name_H-M_alt 'C 1 2/c 1'
_space_group_IT_number 15
_space_group_name_Hall '-C 2yc'
_cell_length_a 10.2741
_cell_length_b 9.4155
_cell_length_c 5.3563
_cell_angle_alpha 90.00
_cell_angle_beta 113.65
_cell_angle_gamma 90.00
loop_
_atom_site_label
_atom_site_fract_x
_atom_site_fract_y
_atom_site_fract_z
Mg1 0.0000 0.2273 0.2500
Cu1 0.0000 0.1239 0.7500
Si1 0.2055 0.4127 0.7439
O1 0.1194 0.1001 0.1295
O2 0.1239 0.2642 0.6303
O3 0.1577 0.4797 0.9778



Bottom line: 1, by a margin of 0.040 eV/atom.



1.
# Mg6CuSiO8 | Alexandria | PBE | relaxed
# V: 158.0 Å³/cell
data_Mg6CuSiO8
_space_group_name_H-M_alt 'P 4/m m m'
_space_group_IT_number 123
_space_group_name_Hall '-P 4 2'
_cell_length_a 4.2866
_cell_length_b 4.2866
_cell_length_c 8.5997
_cell_angle_alpha 90.00
_cell_angle_beta 90.00
_cell_angle_gamma 90.00
loop_
_atom_site_label
_atom_site_fract_x
_atom_site_fract_y
_atom_site_fract_z
Mg1 0.0000 0.0000 0.0000
Mg2 0.0000 0.0000 0.5000
Mg3 0.0000 0.5000 0.2412
Cu1 0.5000 0.5000 0.0000
Si1 0.5000 0.5000 0.5000
O1 0.0000 0.0000 0.2517
O2 0.0000 0.5000 0.0000
O3 0.0000 0.5000 0.5000
O4 0.5000 0.5000 0.2881



2.
# Mg6CuSiO8 | Alexandria | PBE | relaxed
# V: 157.5 Å³/cell
data_Mg6CuSiO8
_space_group_name_H-M_alt 'P 4/m m m'
_space_group_IT_number 123
_space_group_name_Hall '-P 4 2'
_cell_length_a 4.2485
_cell_length_b 4.2485
_cell_length_c 8.7233
_cell_angle_alpha 90.00
_cell_angle_beta 90.00
_cell_angle_gamma 90.00
loop_
_atom_site_label
_atom_site_fract_x
_atom_site_fract_y
_atom_site_fract_z
Mg1 0.0000 0.0000 0.0000
Mg2 0.0000 0.5000 0.2496
Mg3 0.5000 0.5000 0.0000
Cu1 0.0000 0.0000 0.5000
Si1 0.5000 0.5000 0.5000
O1 0.0000 0.0000 0.2344
O2 0.0000 0.5000 0.0000
O3 0.0000 0.5000 0.5000
O4 0.5000 0.5000 0.2578



Bottom line: 1, by a margin of 0.036 eV/atom.



1.
# Mg2CuOs | Alexandria | PBE | relaxed
# V: 123.5 Å³/cell
data_Mg2CuOs
_space_group_name_H-M_alt 'C m m m'
_space_group_IT_number 65
_space_group_name_Hall '-C 2 2'
_cell_length_a 5.6861
_cell_length_b 7.8855
_cell_length_c 2.7542
_cell_angle_alpha 90.00
_cell_angle_beta 90.00
_cell_angle_gamma 90.00
loop_
_atom_site_label
_atom_site_fract_x
_atom_site_fract_y
_atom_site_fract_z
Mg1 0.2500 0.2500 0.0000
Cu1 0.0000 0.0000 0.5000
Os1 0.0000 0.5000 0.5000



2.
# Mg2CuOs | Alexandria | PBE | relaxed
# V: 123.3 Å³/cell
data_Mg2CuOs
_space_group_name_H-M_alt 'C 1 2/m 1'
_space_group_IT_number 12
_space_group_name_Hall '-C 2y'
_cell_length_a 8.9905
_cell_length_b 2.7441
_cell_length_c 5.0510
_cell_angle_alpha 90.00
_cell_angle_beta 98.23
_cell_angle_gamma 90.00
loop_
_atom_site_label
_atom_site_fract_x
_atom_site_fract_y
_atom_site_fract_z
Mg1 0.2489 0.0000 0.2531
Cu1 0.0000 0.5000 0.0000
Os1 0.0000 0.0000 0.5000



Bottom line: 1, by a margin of 0.111 eV/atom.